# Mn3NiRh12

An optimized crystal structure of Mn3NiRh12 (GGA-PBE, Alexandria).

Computed properties:
- Symmetry: P4/mmm (123)
- Crystal system: tetragonal
- ΔH_f (0 K): -0.08 eV per atom
- Calculated volume: 13.795 Å³ per atom

Geometry as CIF:
```
data_Mn3NiRh12
_chemical_formula_sum 'Mn3 Ni1 Rh12'
_space_group_name_H-M_alt 'P 1'
_space_group_IT_number 1
_cell_length_a 3.809
_cell_length_b 3.809
_cell_length_c 15.216
_cell_angle_alpha 90.00
_cell_angle_beta 90.00
_cell_angle_gamma 90.00
loop_
_space_group_symop_operation_xyz
'x,y,z'
loop_
_atom_site_label
_atom_site_type_symbol
_atom_site_fract_x
_atom_site_fract_y
_atom_site_fract_z
Rh1 Rh 0.500 0.500 0.500
Rh2 Rh 0.500 0.000 0.124
Mn1 Mn 0.000 0.000 0.751
Rh3 Rh 0.500 0.000 0.876
Ni1 Ni 0.000 0.000 0.000
Rh4 Rh 0.500 0.000 0.626
Mn2 Mn 0.000 0.000 0.500
Rh5 Rh 0.500 0.500 0.249
Rh6 Rh 0.500 0.500 0.000
Rh7 Rh 0.000 0.500 0.374
Rh8 Rh 0.500 0.500 0.751
Mn3 Mn 0.000 0.000 0.249
Rh9 Rh 0.500 0.000 0.374
Rh10 Rh 0.000 0.500 0.876
Rh11 Rh 0.000 0.500 0.626
Rh12 Rh 0.000 0.500 0.124
```

# MnNi2Rh

An optimized crystal structure of MnNi2Rh (GGA-PBE, Alexandria).

Computed properties:
- Symmetry: C2/m (12)
- Crystal system: monoclinic
- ΔH_f (0 K): 0.00 eV per atom
- Calculated volume: 12.513 Å³ per atom

Geometry as CIF:
```
data_MnNi2Rh
_chemical_formula_sum 'Mn1 Ni2 Rh1'
_space_group_name_H-M_alt 'P 1'
_space_group_IT_number 1
_cell_length_a 4.522
_cell_length_b 4.522
_cell_length_c 4.428
_cell_angle_alpha 78.97
_cell_angle_beta 78.97
_cell_angle_gamma 34.35
loop_
_space_group_symop_operation_xyz
'x,y,z'
loop_
_atom_site_label
_atom_site_type_symbol
_atom_site_fract_x
_atom_site_fract_y
_atom_site_fract_z
Ni1 Ni 0.999 0.999 0.001
Mn1 Mn 0.250 0.250 0.250
Rh1 Rh 0.750 0.750 0.750
Ni2 Ni 0.501 0.501 0.499
```

# Mn3NiRh4

An optimized crystal structure of Mn3NiRh4 (GGA-PBE, Alexandria).

Computed properties:
- Symmetry: Pmmm (47)
- Crystal system: orthorhombic
- ΔH_f (0 K): -0.12 eV per atom
- Calculated volume: 13.473 Å³ per atom

Geometry as CIF:
```
data_Mn3NiRh4
_chemical_formula_sum 'Mn3 Ni1 Rh4'
_space_group_name_H-M_alt 'P 1'
_space_group_IT_number 1
_cell_length_a 3.503
_cell_length_b 3.910
_cell_length_c 7.870
_cell_angle_alpha 90.00
_cell_angle_beta 90.00
_cell_angle_gamma 90.00
loop_
_space_group_symop_operation_xyz
'x,y,z'
loop_
_atom_site_label
_atom_site_type_symbol
_atom_site_fract_x
_atom_site_fract_y
_atom_site_fract_z
Rh1 Rh 0.000 0.000 0.500
Rh2 Rh 0.000 0.500 0.247
Ni1 Ni 0.500 0.500 0.000
Rh3 Rh 0.000 0.500 0.753
Mn1 Mn 0.500 0.000 0.761
Rh4 Rh 0.000 0.000 0.000
Mn2 Mn 0.500 0.000 0.239
Mn3 Mn 0.500 0.500 0.500
```

# Mn2NiRh2

An optimized crystal structure of Mn2NiRh2 (GGA-PBE, Alexandria).

Computed properties:
- Symmetry: I4/mmm (139)
- Crystal system: tetragonal
- ΔH_f (0 K): 0.42 eV per atom
- Calculated volume: 13.898 Å³ per atom

Geometry as CIF:
```
data_Mn2NiRh2
_chemical_formula_sum 'Mn2 Ni1 Rh2'
_space_group_name_H-M_alt 'P 1'
_space_group_IT_number 1
_cell_length_a 3.711
_cell_length_b 3.711
_cell_length_c 5.689
_cell_angle_alpha 70.97
_cell_angle_beta 70.97
_cell_angle_gamma 90.00
loop_
_space_group_symop_operation_xyz
'x,y,z'
loop_
_atom_site_label
_atom_site_type_symbol
_atom_site_fract_x
_atom_site_fract_y
_atom_site_fract_z
Rh1 Rh 0.250 0.750 0.500
Rh2 Rh 0.750 0.250 0.500
Ni1 Ni 0.000 0.000 0.000
Mn1 Mn 0.407 0.407 0.187
Mn2 Mn 0.593 0.593 0.813
```

# MnNiRh2

An optimized crystal structure of MnNiRh2 (GGA-PBE, Alexandria).

Computed properties:
- Symmetry: Cm (8)
- Crystal system: monoclinic
- ΔH_f (0 K): -0.03 eV per atom
- Calculated volume: 13.256 Å³ per atom

Geometry as CIF:
```
data_MnNiRh2
_chemical_formula_sum 'Mn1 Ni1 Rh2'
_space_group_name_H-M_alt 'P 1'
_space_group_IT_number 1
_cell_length_a 4.621
_cell_length_b 4.621
_cell_length_c 4.492
_cell_angle_alpha 78.83
_cell_angle_beta 78.83
_cell_angle_gamma 34.37
loop_
_space_group_symop_operation_xyz
'x,y,z'
loop_
_atom_site_label
_atom_site_type_symbol
_atom_site_fract_x
_atom_site_fract_y
_atom_site_fract_z
Rh1 Rh 0.752 0.752 0.749
Ni1 Ni 0.247 0.247 0.252
Rh2 Rh 0.998 0.998 0.005
Mn1 Mn 0.503 0.503 0.493
```

# MnNiRh3

An optimized crystal structure of MnNiRh3 (GGA-PBE, Alexandria).

Computed properties:
- Symmetry: Pm-3m (221)
- Crystal system: cubic
- ΔH_f (0 K): 1.15 eV per atom
- Calculated volume: 16.970 Å³ per atom

Geometry as CIF:
```
data_MnNiRh3
_chemical_formula_sum 'Mn1 Ni1 Rh3'
_space_group_name_H-M_alt 'P 1'
_space_group_IT_number 1
_cell_length_a 4.394
_cell_length_b 4.394
_cell_length_c 4.394
_cell_angle_alpha 90.00
_cell_angle_beta 90.00
_cell_angle_gamma 90.00
loop_
_space_group_symop_operation_xyz
'x,y,z'
loop_
_atom_site_label
_atom_site_type_symbol
_atom_site_fract_x
_atom_site_fract_y
_atom_site_fract_z
Rh1 Rh 0.500 0.000 0.000
Mn1 Mn 0.000 0.000 0.000
Rh2 Rh 0.000 0.000 0.500
Rh3 Rh 0.000 0.500 0.000
Ni1 Ni 0.500 0.500 0.500
```

# MnNi2Rh

An optimized crystal structure of MnNi2Rh (GGA-PBE, Alexandria).

Computed properties:
- Symmetry: Cm (8)
- Crystal system: monoclinic
- ΔH_f (0 K): 0.00 eV per atom
- Calculated volume: 12.469 Å³ per atom

Geometry as CIF:
```
data_MnNi2Rh
_chemical_formula_sum 'Mn1 Ni2 Rh1'
_space_group_name_H-M_alt 'P 1'
_space_group_IT_number 1
_cell_length_a 4.481
_cell_length_b 4.481
_cell_length_c 4.436
_cell_angle_alpha 78.67
_cell_angle_beta 78.67
_cell_angle_gamma 34.90
loop_
_space_group_symop_operation_xyz
'x,y,z'
loop_
_atom_site_label
_atom_site_type_symbol
_atom_site_fract_x
_atom_site_fract_y
_atom_site_fract_z
Rh1 Rh 0.500 0.500 0.505
Ni1 Ni 0.000 0.000 0.997
Ni2 Ni 0.747 0.747 0.757
Mn1 Mn 0.252 0.252 0.241
```

# MnNiRh2

An optimized crystal structure of MnNiRh2 (GGA-PBE, Alexandria).

Computed properties:
- Symmetry: I-4m2 (119)
- Crystal system: tetragonal
- ΔH_f (0 K): -0.07 eV per atom
- Calculated volume: 13.098 Å³ per atom

Geometry as CIF:
```
data_MnNiRh2
_chemical_formula_sum 'Mn1 Ni1 Rh2'
_space_group_name_H-M_alt 'P 1'
_space_group_IT_number 1
_cell_length_a 4.622
_cell_length_b 4.622
_cell_length_c 4.622
_cell_angle_alpha 132.67
_cell_angle_beta 132.67
_cell_angle_gamma 69.18
loop_
_space_group_symop_operation_xyz
'x,y,z'
loop_
_atom_site_label
_atom_site_type_symbol
_atom_site_fract_x
_atom_site_fract_y
_atom_site_fract_z
Rh1 Rh 0.250 0.750 0.500
Rh2 Rh 0.000 0.000 0.000
Ni1 Ni 0.750 0.250 0.500
Mn1 Mn 0.500 0.500 0.000
```

Number 1: DFT total energy -7.676 eV per atom, spin magnetization 6.03 μB per formula unit. Number 2: DFT total energy -7.024 eV per atom, spin magnetization 5.27 μB per formula unit. Number 3: DFT total energy -7.958 eV per atom, spin magnetization 9.42 μB per formula unit. Number 4: DFT total energy -7.341 eV per atom, spin magnetization 0.00 μB per formula unit. Number 5: DFT total energy -7.439 eV per atom, spin magnetization 3.98 μB per formula unit. Number 6: DFT total energy -6.248 eV per atom, spin magnetization 0.95 μB per formula unit. Number 7: DFT total energy -7.023 eV per atom, spin magnetization 4.86 μB per formula unit. Number 8: DFT total energy -7.484 eV per atom, spin magnetization 3.25 μB per formula unit.